No. 1
{
  "formula": "BaGa3Cl12",
  "functional": "PBE",
  "state": "relaxed",
  "total_energy_ev_per_atom": -3.353,
  "dos_ef_per_ev_cell": 42.79,
  "cell": [[-1.701, 1.021, 11.169], [3.052, -8.394, 6.993], [10.822, 2.270, 7.201]],
  "species": ["Ba", "Ba", "Ga", "Ga", "Ga", "Ga", "Ga", "Ga", "Cl", "Cl", "Cl", "Cl", "Cl", "Cl", "Cl", "Cl", "Cl", "Cl", "Cl", "Cl", "Cl", "Cl", "Cl", "Cl", "Cl", "Cl", "Cl", "Cl", "Cl", "Cl", "Cl", "Cl"],
  "fractional_positions": [[0.056, 0.056, 0.831], [0.556, 0.556, 0.331], [0.718, 0.347, 0.999], [0.218, 0.437, 0.499], [0.847, 0.218, 0.499], [0.347, 0.937, 0.999], [0.937, 0.718, 0.999], [0.437, 0.847, 0.499], [0.123, 0.085, 0.035], [0.254, 0.236, 0.641], [0.985, 0.003, 0.484], [0.881, 0.389, 0.835], [0.381, 0.394, 0.335], [0.485, 0.028, 0.984], [0.754, 0.370, 0.141], [0.003, 0.528, 0.484], [0.623, 0.258, 0.535], [0.870, 0.254, 0.641], [0.889, 0.381, 0.335], [0.258, 0.585, 0.535], [0.028, 0.503, 0.984], [0.758, 0.123, 0.035], [0.389, 0.894, 0.835], [0.370, 0.736, 0.141], [0.736, 0.754, 0.141], [0.503, 0.485, 0.984], [0.585, 0.623, 0.535], [0.894, 0.881, 0.835], [0.394, 0.889, 0.335], [0.085, 0.758, 0.035], [0.236, 0.870, 0.641], [0.528, 0.985, 0.484]]
}

No. 2
{
  "formula": "La2RuSe",
  "functional": "PBE",
  "state": "relaxed",
  "total_energy_ev_per_atom": -6.352,
  "dos_ef_per_ev_cell": 2.05,
  "cell": [[6.237, 0.004, 0.000], [3.430, 5.210, 0.000], [-4.834, -2.607, 2.958]],
  "species": ["La", "La", "Ru", "Se"],
  "fractional_positions": [[0.000, 0.000, 0.000], [0.250, 0.750, 0.500], [0.500, 0.500, 0.000], [0.750, 0.250, 0.500]]
}

No. 3
{
  "formula": "SbSe3N",
  "functional": "PBE",
  "state": "relaxed",
  "e_above_lowest_polymorph_ev_per_atom": 0.000,
  "total_energy_ev_per_atom": -3.809,
  "dos_ef_per_ev_cell": 3.99,
  "cell": [[-0.225, 3.192, 3.219], [-3.802, 1.622, -1.874], [-2.468, -2.790, 2.593]],
  "species": ["Sb", "Se", "Se", "Se", "N"],
  "fractional_positions": [[0.500, 0.500, 0.500], [0.000, 0.500, 0.000], [0.000, 0.000, 0.500], [0.500, 0.000, 0.000], [0.000, 0.000, 0.000]]
}